Entry 1:
CaCdFe2: optimized geometry, GGA-PBE.

Properties
Density of states at the Fermi level ... 14.840 states/eV per cell
Total energy ... -51.4 eV per cell
Magnetic moment ... 14.9 μB/cell

abc: 2.9913 2.9913 28.5262
angles: 90.00 90.00 120.00
Closest atoms and distances in Å follow each position.
Space group R-3m (No. 166, hexagonal axes)
One atom of each set of equivalent atoms:
Ca 0.0000 0.0000 0.0000  6 Ca 2.99, 6 Fe 3.01
Cd 0.0000 0.0000 0.5000  6 Fe 2.87, 6 Cd 2.99
Fe 0.0000 0.0000 0.2470  3 Cd 2.87, 6 Fe 2.99, 3 Ca 3.01

Entry 2:
CaCdFe2: optimized geometry, GGA-PBE.

Properties
Density of states at the Fermi level ... 24.237 states/eV per cell
Total energy ... -66.4 eV per cell
Magnetic moment ... 0.3 μB/cell

abc: 4.3130 4.3130 18.7000
angles: 90.00 90.00 90.00
Closest atoms and distances in Å follow each position.
Space group I4_1/amd (No. 141, origin choice 2)
One atom of each set of equivalent atoms:
Ca 0.0000 0.2500 0.3750  4 Cd 3.05, 8 Fe 3.36
Cd 0.0000 0.2500 0.8750  4 Fe 2.57
Fe 0.0000 0.0000 0.0000  2 Fe 2.16

Entry 3:
CaCdFe: optimized geometry, GGA-PBE.

Properties
Density of states at the Fermi level ... 2.196 states/eV per cell
Total energy ... -9.9 eV per cell
Magnetic moment ... 2.2 μB/cell

abc: 3.2520 3.2520 7.2088
angles: 90.00 90.00 120.00
Closest atoms and distances in Å follow each position.
Space group P3m1 (No. 156)
One atom of each set of equivalent atoms:
Ca 0.0000 0.0000 0.0000  3 Fe 2.98, 6 Ca 3.25
Cd 0.3333 0.6667 0.3844  3 Fe 2.84
Fe 0.6667 0.3333 0.6797  3 Cd 2.84, 3 Ca 2.98

Entry 4:
CaCdFe2: optimized geometry, GGA-PBE.

Properties
Density of states at the Fermi level ... 4.140 states/eV per cell
Total energy ... -17.8 eV per cell
Magnetic moment ... 5.1 μB/cell

abc: 3.0063 4.7126 5.7766
angles: 90.00 97.71 90.00
Closest atoms and distances in Å follow each position.
Space group P2/m (No. 10)
One atom of each set of equivalent atoms:
Ca 0.0000 0.0000 0.0000  2 Ca 3.01, 2 Cd 3.07, 4 Fe 3.23
Cd 0.5000 0.0000 0.5000  4 Fe 2.67
Fe 0.2667 0.5000 0.6630  2 Fe 2.30-2.49

Entry 5:
CaCdFe3: optimized geometry, GGA-PBE.

Properties
Distance to the lowest polymorph of the same formula ... 584 meV per atom
Density of states at the Fermi level ... 6.913 states/eV per cell
Magnetic moment ... 6.9 μB/cell

abc: 4.5886 4.5886 4.5886
angles: 90.00 90.00 90.00
Closest atoms and distances in Å follow each position.
Space group Pm-3m (No. 221)
One atom of each set of equivalent atoms:
Ca 0.0000 0.0000 0.0000  6 Fe 2.29
Cd 0.5000 0.5000 0.5000  12 Fe 3.24
Fe 0.0000 0.0000 0.5000  2 Ca 2.29

Entry 6:
CaCd3Fe: optimized geometry, GGA-PBE.

Properties
Distance to the lowest polymorph of the same formula ... 0 meV per atom
Density of states at the Fermi level ... 4.231 states/eV per cell
Magnetic moment ... 0.0 μB/cell

abc: 4.9932 4.9932 4.9932
angles: 90.00 90.00 90.00
Closest atoms and distances in Å follow each position.
Space group Pm-3m (No. 221)
One atom of each set of equivalent atoms:
Ca 0.0000 0.0000 0.0000  12 Cd 3.53
Cd 0.0000 0.5000 0.5000  2 Fe 2.50
Fe 0.5000 0.5000 0.5000  6 Cd 2.50

Entry 7:
CaCdFe2: optimized geometry, GGA-PBE.

Properties
Density of states at the Fermi level ... 8.155 states/eV per cell
Total energy ... -53.8 eV per cell
Magnetic moment ... 15.3 μB/cell

abc: 3.1594 3.1594 26.8110
angles: 90.00 90.00 120.00
Closest atoms and distances in Å follow each position.
Space group R3m (No. 160, hexagonal axes)
One atom of each set of equivalent atoms:
Ca 0.0000 0.0000 0.0000  3 Fe 2.99, 6 Ca 3.16
Cd 0.0000 0.0000 0.7720  3 Fe 2.85, 6 Cd 3.16
Fe 0.0000 0.0000 0.2451  3 Fe 2.40
Fe 0.0000 0.0000 0.5204  3 Fe 2.40

Entry 8:
CaCdFe2: optimized geometry, GGA-PBE.

Properties
Density of states at the Fermi level ... 7.221 states/eV per cell
Total energy ... -35.7 eV per cell
Magnetic moment ... 9.5 μB/cell

abc: 4.1484 4.1484 8.4622
angles: 90.00 90.00 90.00
Closest atoms and distances in Å follow each position.
Space group I4/mmm (No. 139)
One atom of each set of equivalent atoms:
Ca 0.0000 0.0000 0.0000  4 Cd 2.93, 8 Fe 2.96
Cd 0.0000 0.0000 0.5000  4 Ca 2.93, 8 Fe 2.96
Fe 0.0000 0.5000 0.2500  4 Fe 2.93, 4 Cd 2.96, 4 Ca 2.96

Entry 9:
CaCdFe: optimized geometry, GGA-PBE.

Properties
Density of states at the Fermi level ... 4.881 states/eV per cell
Total energy ... -10.5 eV per cell
Magnetic moment ... 2.5 μB/cell

abc: 4.7434 4.7434 3.5219
angles: 90.00 90.00 120.00
Closest atoms and distances in Å follow each position.
Space group P-6m2 (No. 187)
One atom of each set of equivalent atoms:
Ca 0.0000 0.0000 0.0000  6 Cd 3.26, 6 Fe 3.26, 2 Ca 3.52
Cd 0.6667 0.3333 0.5000  3 Fe 2.74
Fe 0.3333 0.6667 0.5000  3 Cd 2.74

Entry 10:
CaCd3Fe: optimized geometry, GGA-PBE.

Properties
Distance to the lowest polymorph of the same formula ... 964 meV per atom
Density of states at the Fermi level ... 7.644 states/eV per cell
Magnetic moment ... 2.9 μB/cell

abc: 5.8381 5.8381 5.8381
angles: 90.00 90.00 90.00
Closest atoms and distances in Å follow each position.
Space group Pm-3m (No. 221)
One atom of each set of equivalent atoms:
Ca 0.0000 0.0000 0.0000  6 Cd 2.92
Cd 0.0000 0.0000 0.5000  2 Ca 2.92
Fe 0.5000 0.5000 0.5000  12 Cd 4.13

Entry 11:
CaCdFe: optimized geometry, GGA-PBE.

Properties
Density of states at the Fermi level ... 18.474 states/eV per cell
Total energy ... -39.7 eV per cell
Magnetic moment ... 9.9 μB/cell

abc: 6.7060 6.7060 6.7060
angles: 90.00 90.00 90.00
Closest atoms and distances in Å follow each position.
Space group F-43m (No. 216)
One atom of each set of equivalent atoms:
Ca 0.0000 0.0000 0.0000  4 Fe 2.90
Cd 0.0000 0.0000 0.5000  4 Fe 2.90
Fe 0.2500 0.2500 0.7500  4 Cd 2.90, 4 Ca 2.90

Entry 12:
CaCdFe2: optimized geometry, GGA-PBE.

Properties
Density of states at the Fermi level ... 6.499 states/eV per cell
Total energy ... -36.7 eV per cell
Magnetic moment ... 9.8 μB/cell

abc: 8.8222 3.9645 5.3884
angles: 90.00 114.74 90.00
Closest atoms and distances in Å follow each position.
Space group C2/m (No. 12)
One atom of each set of equivalent atoms:
Ca 0.0000 0.0000 0.0000  6 Fe 3.01-3.17, 4 Cd 3.34
Cd 0.0000 0.5000 0.5000  6 Fe 2.69-2.70
Fe 0.2259 0.0000 0.6001  2 Fe 2.38

Entry 13:
CaCdFe2: optimized geometry, GGA-PBE.

Properties
Density of states at the Fermi level ... 4.783 states/eV per cell
Total energy ... -17.8 eV per cell
Magnetic moment ... 4.5 μB/cell

abc: 4.1347 4.1347 4.2635
angles: 90.00 90.00 90.00
Closest atoms and distances in Å follow each position.
Space group P4/mmm (No. 123)
One atom of each set of equivalent atoms:
Ca 0.0000 0.0000 0.0000  4 Cd 2.92, 8 Fe 2.97
Cd 0.5000 0.5000 0.0000  4 Ca 2.92, 8 Fe 2.97
Fe 0.0000 0.5000 0.5000  4 Fe 2.92, 4 Cd 2.97, 4 Ca 2.97